Record 1
The following is a DFT calculation (PBE) of crystalline SrDyF5 at its relaxed geometry.

```
SrDyF5
1.0
2.160 -7.929 0.000
2.160 7.929 0.000
-0.339 0.000 5.764
Sr Dy F
2 2 10
direct
0.177 0.823 0.750
0.823 0.177 0.250
0.424 0.576 0.750
0.576 0.424 0.250
0.122 0.878 0.250
0.229 0.306 0.398
0.303 0.681 0.997
0.306 0.229 0.898
0.319 0.697 0.503
0.681 0.303 0.497
0.694 0.771 0.102
0.697 0.319 0.003
0.771 0.694 0.602
0.878 0.122 0.750
```

Computed properties:
Energy: -0.4634 Ry/atom
E_form (uncorrected): -4071 meV per atom

Record 2
The following is a DFT calculation (PBE) of crystalline TbDyF at its relaxed geometry.

```
TbDyF
1.0
3.715 0.000 0.000
-1.857 3.217 0.000
0.000 0.000 5.604
Tb Dy F
1 1 1
direct
0.000 0.000 0.000
0.667 0.333 0.489
0.333 0.667 0.742
```

Computed properties:
Energy: -0.3854 Ry/atom
Relative energy among the computed polymorphs: 0.008 eV/atom
E_form (uncorrected): -1543 meV per atom

Record 3
The following is a DFT calculation (PBE) of crystalline Tb2DyF11 at its relaxed geometry.

```
Tb2DyF11
1.0
-4.203 5.127 5.577
4.203 -5.127 5.577
4.203 5.127 -5.577
Tb Dy F
4 2 22
direct
0.190 0.160 0.350
0.310 0.660 0.970
0.690 0.340 0.030
0.810 0.840 0.650
0.250 0.750 0.500
0.750 0.250 0.500
0.000 0.000 0.000
0.026 0.458 0.771
0.058 0.839 0.629
0.186 0.958 0.431
0.193 0.891 0.084
0.210 0.430 0.371
0.290 0.661 0.220
0.307 0.391 0.698
0.314 0.745 0.771
0.442 0.070 0.780
0.474 0.245 0.431
0.500 0.500 0.000
0.526 0.755 0.569
0.558 0.930 0.220
0.686 0.255 0.229
0.693 0.609 0.302
0.710 0.339 0.780
0.790 0.570 0.629
0.807 0.109 0.916
0.814 0.042 0.569
0.942 0.161 0.371
0.974 0.542 0.229
```

Computed properties:
Energy: -0.4349 Ry/atom
E_form (uncorrected): -3457 meV per atom

Record 4
The following is a DFT calculation (PBE) of crystalline Tb2DyF8 at its relaxed geometry.

```
Tb2DyF8
1.0
3.508 -5.153 0.000
3.508 5.153 0.000
-1.609 0.000 4.043
Tb Dy F
2 1 8
direct
0.184 0.816 0.000
0.816 0.184 0.000
0.500 0.500 0.500
0.133 0.133 0.316
0.189 0.441 0.980
0.254 0.746 0.500
0.441 0.189 0.980
0.559 0.811 0.020
0.746 0.254 0.500
0.811 0.559 0.020
0.867 0.867 0.684
```

Computed properties:
Energy: -0.4716 Ry/atom
E_form (uncorrected): -3796 meV per atom

Record 5
The following is a DFT calculation (PBE) of crystalline TbDyF at its relaxed geometry.

```
TbDyF
1.0
6.644 -1.761 0.000
6.644 1.761 0.000
-3.702 0.000 6.031
Tb Dy F
2 2 2
direct
0.005 0.005 0.276
0.995 0.995 0.724
0.265 0.265 0.239
0.735 0.735 0.761
0.340 0.340 0.624
0.660 0.660 0.376
```

Computed properties:
Energy: -0.3860 Ry/atom
Relative energy among the computed polymorphs: 0.000 eV/atom
E_form (uncorrected): -1551 meV per atom

Record 6
The following is a DFT calculation (PBE) of crystalline DyTcF at its relaxed geometry.

```
DyTcF
1.0
2.016 1.164 7.852
-2.016 1.164 7.852
0.000 -2.328 7.852
Dy Tc F
2 2 2
direct
0.094 0.094 0.094
0.906 0.906 0.906
0.343 0.343 0.343
0.657 0.657 0.657
0.193 0.193 0.193
0.807 0.807 0.807
```

Computed properties:
Energy: -0.5424 Ry/atom
E_form (uncorrected): -1766 meV per atom

Among the records above, which one has the lowest energy? DyTcF